Below is a relaxed SiMoIr4 crystal, with properties calculated at the PBE-GGA level.

abc: 5.138 5.138 5.138
angles: 60.00 60.00 60.00
Sites, in units of the cell vectors:
Mo (0.750, 0.750, 0.750)
Ir (0.875, 0.375, 0.375)
Ir (0.375, 0.375, 0.375)
Ir (0.375, 0.875, 0.375)
Ir (0.375, 0.375, 0.875)
Si (0.000, 0.000, 0.000)

Computed properties:
The raw formation energy is 523 meV/atom. Its symmetry is F-43m (216). The total magnetization is 0.00 μB/cell. The total energy comes out at -48.562 eV/f.u.